# 1
# SrLiCl2

A relaxed SrLiCl2 crystal (PBE-GGA, the Alexandria database).

```
4
Lattice="4.3768 0.0000 0.0000 0.0000 3.7076 0.0000 -1.6883 0.0000 7.7201" Properties=species:S:1:pos:R:3 pbc="T T T"
Sr 0.0000 0.0000 0.0000
Li -0.8441 0.0000 3.8600
Cl -0.0535 1.8538 2.3404
Cl 2.7420 1.8538 5.3796
```

## Properties
E_form (uncorrected) ... -6.37 eV per formula unit
Energy relative to the lowest polymorph listed for this composition ... 55 meV/atom
Symmetry ... P2/m, No. 10
Energy ... -13.7 eV per cell

***

# 2
# VZn2Re

A relaxed VZn2Re crystal (PBE-GGA, the Alexandria database).

```
4
Lattice="0.0000 3.0443 3.0443 3.0443 0.0000 3.0443 3.0443 3.0443 0.0000" Properties=species:S:1:pos:R:3 pbc="T T T"
V 0.0000 0.0000 0.0000
Zn 1.5222 1.5222 1.5222
Zn 4.5665 4.5665 4.5665
Re 3.0443 3.0443 3.0443
```

## Properties
Energy relative to the lowest polymorph listed for this composition ... 0 meV/atom
Symmetry ... Fm-3m, No. 225
ΔE_f ... 342.6 meV per atom
Energy ... -22.7 eV per cell

***

# 3
# Pr6PS4

A relaxed Pr6PS4 crystal (PBE-GGA, the Alexandria database).

```
22
Lattice="2.0292 -6.7117 0.0000 2.0292 6.7117 0.0000 0.0000 0.0000 20.7301" Properties=species:S:1:pos:R:3 pbc="T T T"
Pr 0.0000 0.0000 0.0000
Pr 0.0000 0.0000 10.3651
Pr 2.0292 4.4718 15.5476
Pr 2.0292 3.0218 1.8918
Pr 2.0292 3.0218 8.4733
Pr 2.0292 0.7907 13.8409
Pr 2.0292 0.7907 17.2543
Pr 2.0292 -0.7907 3.4759
Pr 2.0292 -0.7907 6.8892
Pr 2.0292 -3.0218 12.2569
Pr 2.0292 -3.0218 18.8383
Pr 2.0292 -4.4718 5.1825
P 2.0292 4.3535 5.1825
P 2.0292 -4.3535 15.5476
S 2.0292 5.6020 12.9783
S 2.0292 5.6020 18.1169
S 2.0292 1.8929 11.1751
S 2.0292 1.8929 19.9201
S 2.0292 -1.8929 0.8101
S 2.0292 -1.8929 9.5550
S 2.0292 -5.6020 2.6132
S 2.0292 -5.6020 7.7518
```

## Properties
E_form (uncorrected) ... -18.80 eV per formula unit
Symmetry ... Cmcm, No. 63
Energy ... -138.8 eV per cell

***

# 4
# PmNdSm5Y2

A relaxed PmNdSm5Y2 crystal (PBE-GGA, the Alexandria database).

```
18
Lattice="2.8562 -10.1356 0.0000 2.8562 10.1356 0.0000 0.0000 0.0000 10.6931" Properties=species:S:1:pos:R:3 pbc="T T T"
Pm 2.8562 6.0269 5.3465
Pm 2.8562 -6.0269 0.0000
Nd 2.8562 1.7335 10.0689
Nd 2.8562 -1.7335 4.7224
Sm 2.8562 9.7676 5.5064
Sm 2.8562 4.4209 8.5473
Sm 2.8562 4.1101 2.0873
Sm 2.8562 2.1719 5.5096
Sm 2.8562 0.4514 2.4532
Sm 2.8562 -0.4514 7.7998
Sm 2.8562 -2.1719 0.1631
Sm 2.8562 -4.1101 7.4338
Sm 2.8562 -4.4209 3.2008
Sm 2.8562 -9.7676 0.1599
Y 2.8562 7.8764 2.3846
Y 2.8562 7.7747 8.7000
Y 2.8562 -7.7747 3.3534
Y 2.8562 -7.8764 7.7311
```

## Properties
Symmetry ... Cmc2_1, No. 36
ΔE_f ... 144.9 meV per atom
Energy ... -89.5 eV per cell

***

# 5
# Li3Pd7

A relaxed Li3Pd7 crystal (PBE-GGA, the Alexandria database).

```
10
Lattice="7.0250 -1.9339 0.0000 7.0250 1.9339 0.0000 -1.1066 0.0000 5.3764" Properties=species:S:1:pos:R:3 pbc="T T T"
Li 0.0000 0.0000 0.0000
Li 2.0785 0.0000 3.2336
Li 10.8648 0.0000 2.1427
Pd -0.5533 0.0000 2.6882
Pd 2.7028 0.0000 0.5577
Pd 4.8137 0.0000 3.7676
Pd 5.3969 0.0000 1.0782
Pd 7.5464 0.0000 4.2982
Pd 8.1297 0.0000 1.6088
Pd 10.2405 0.0000 4.8186
```

## Properties
Symmetry ... C2/m, No. 12
ΔE_f ... -280.3 meV per atom
Energy ... -44.9 eV per cell

***

# 6
# TaTi5Al6

A relaxed TaTi5Al6 crystal (PBE-GGA, the Alexandria database).

```
12
Lattice="-2.3962 2.8518 7.1822 2.3962 -2.8518 7.1822 2.3962 2.8518 -7.1822" Properties=species:S:1:pos:R:3 pbc="T T T"
Ta 0.0000 0.0000 0.0000
Ti 2.3962 0.0000 2.3784
Ti 0.0000 0.0000 4.7844
Ti 0.0000 2.8518 0.0000
Ti 0.0000 0.0000 9.5800
Ti 0.0000 2.8518 4.8038
Al 2.3962 -1.4266 4.7770
Al 2.3962 1.4306 0.0000
Al 0.0000 1.4252 2.4052
Al 2.3962 1.4266 4.7770
Al 0.0000 1.4213 7.1822
Al 0.0000 4.2785 2.4052
```

## Properties
Symmetry ... Immm, No. 71
ΔE_f ... -224.5 meV per atom
Energy ... -76.5 eV per cell